w) VASP calculation (PBE) on a relaxed structure of ZnCuIr.

Computed properties:
V, Å³ per atom: 16.6

Cell: 5.8347 5.8347 5.8347 Å, 90.00 90.00 90.00°
Space group F-43m (No. 216)
Symmetry-distinct sites (fractional):
Zn 0.0000 0.0000 0.0000 x4
Cu 0.0000 0.0000 0.5000 x4
Ir 0.2500 0.2500 0.2500 x4

***

x) VASP calculation (PBE) on a relaxed structure of ZnCuIr.

Computed properties:
V, Å³ per atom: 13.7

Cell: 2.7362 2.7362 6.3327 Å, 90.00 90.00 120.00°
Space group P3m1 (No. 156)
Symmetry-distinct sites (fractional):
Zn 0.0000 0.0000 0.0000 x1
Cu 0.3333 0.6667 0.3240 x1
Ir 0.6667 0.3333 0.6629 x1

***

Which one is most stable, and which one is least stable? x) is the most stable of them, while w) is the least stable.

***

w) VASP calculation (PBE) on a relaxed structure of Zn6CuIr.

Computed properties:
V, Å³ per atom: 16.9

Cell: 7.0786 7.0786 9.3262 Å, 90.00 90.00 120.00°
Space group R-3m (No. 166, hexagonal axes)
Symmetry-distinct sites (fractional):
Zn 0.0791 0.5396 0.3782 x18
Cu 0.0000 0.0000 0.0000 x3
Ir 0.0000 0.0000 0.5000 x3

***

x) VASP calculation (PBE) on a relaxed structure of Zn6CuIr.

Computed properties:
V, Å³ per atom: 15.3

Cell: 4.3764 7.3399 7.6187 Å, 90.00 90.00 90.00°
Space group Cmmm (No. 65)
Symmetry-distinct sites (fractional):
Zn 0.0000 0.0000 0.1604 x4
Zn 0.0000 0.3331 0.3270 x8
Cu 0.0000 0.5000 0.0000 x2
Ir 0.0000 0.0000 0.5000 x2

***

Which one is most stable, and which one is least stable? x) is the most stable of them, while w) is the least stable.

***

w) VASP calculation (PBE) on a relaxed structure of Zn6Cu2Ir.

Computed properties:
V, Å³ per atom: 14.6

Cell: 4.4350 7.1709 8.2588 Å, 90.00 90.00 90.00°
Space group Immm (No. 71)
Symmetry-distinct sites (fractional):
Zn 0.0000 0.1831 0.1659 x8
Zn 0.0000 0.1913 0.5000 x4
Cu 0.0000 0.5000 0.3296 x4
Ir 0.0000 0.5000 0.0000 x2

***

x) VASP calculation (PBE) on a relaxed structure of Zn6Cu2Ir.

Computed properties:
V, Å³ per atom: 13.9

Cell: 4.2407 4.2407 8.0368 Å, 90.00 90.00 120.00°
Space group P-3m1 (No. 164)
Symmetry-distinct sites (fractional):
Zn 0.0000 0.0000 0.1747 x2
Zn 0.3333 0.6667 0.0345 x2
Zn 0.3333 0.6667 0.3809 x2
Cu 0.3333 0.6667 0.7038 x2
Ir 0.0000 0.0000 0.5000 x1

***

Which one is most stable, and which one is least stable? x) is the most stable of them, while w) is the least stable.

***

w) VASP calculation (PBE) on a relaxed structure of ZrCu2Ir2.

Computed properties:
V, Å³ per atom: 15.3

Cell: 7.1780 7.1780 2.9610 Å, 90.00 90.00 90.00°
Space group P4/mbm (No. 127)
Symmetry-distinct sites (fractional):
Zr 0.0000 0.0000 0.0000 x2
Cu 0.1662 0.3338 0.5000 x4
Ir 0.1317 0.6317 0.0000 x4

***

x) VASP calculation (PBE) on a relaxed structure of ZrCu2Ir2.

Computed properties:
V, Å³ per atom: 16.0

Cell: 3.5023 3.5023 13.0386 Å, 90.00 90.00 90.00°
Space group I4/mmm (No. 139)
Symmetry-distinct sites (fractional):
Zr 0.0000 0.0000 0.0000 x2
Cu 0.0000 0.5000 0.2500 x4
Ir 0.0000 0.0000 0.3957 x4

***

Which one is most stable, and which one is least stable? x) is the most stable of them, while w) is the least stable.

***

w) VASP calculation (PBE) on a relaxed structure of Zr4CuIr.

Computed properties:
V, Å³ per atom: 19.7

Cell: 6.6564 6.6564 5.3395 Å, 90.00 90.00 90.00°
Space group I422 (No. 97)
Symmetry-distinct sites (fractional):
Zr 0.1613 0.3387 0.2500 x8
Cu 0.0000 0.0000 0.5000 x2
Ir 0.0000 0.0000 0.0000 x2

***

x) VASP calculation (PBE) on a relaxed structure of Zr4CuIr.

Computed properties:
V, Å³ per atom: 20.1

Cell: 7.8404 7.8404 7.8404 Å, 90.00 90.00 90.00°
Space group F-43m (No. 216)
Symmetry-distinct sites (fractional):
Zr 0.1237 0.1237 0.3763 x16
Cu 0.0000 0.0000 0.0000 x4
Ir 0.2500 0.2500 0.7500 x4

***

y) VASP calculation (PBE) on a relaxed structure of Zr4CuIr.

Computed properties:
V, Å³ per atom: 22.3

Cell: 6.4619 6.4719 6.3986 Å, 90.00 91.65 90.00°
Space group P2_1/c (No. 14)
Symmetry-distinct sites (fractional):
Zr 0.1552 0.1585 0.3531 x4
Zr 0.3304 0.6657 0.3297 x4
Cu 0.5000 0.0000 0.5000 x2
Ir 0.0000 0.0000 0.0000 x2

***

Which one is most stable, and which one is least stable? w) is the most stable of them, while x) is the least stable.

***

w) VASP calculation (PBE) on a relaxed structure of Zr3CuIr.

Computed properties:
V, Å³ per atom: 25.8

Cell: 5.0546 5.0546 5.0546 Å, 90.00 90.00 90.00°
Space group Pm-3m (No. 221)
Symmetry-distinct sites (fractional):
Zr 0.0000 0.0000 0.5000 x3
Cu 0.5000 0.5000 0.5000 x1
Ir 0.0000 0.0000 0.0000 x1

***

x) VASP calculation (PBE) on a relaxed structure of Zr3CuIr.

Computed properties:
V, Å³ per atom: 20.0

Cell: 19.2032 3.4897 5.9995 Å, 90.00 94.60 90.00°
Space group C2/m (No. 12)
Symmetry-distinct sites (fractional):
Zr 0.0082 0.0000 0.2664 x4
Zr 0.1272 0.5000 0.5684 x4
Zr 0.1790 0.0000 0.0928 x4
Cu 0.2364 0.0000 0.6385 x4
Ir 0.0788 0.5000 0.0016 x4

***

Which one is most stable, and which one is least stable? x) is the most stable of them, while w) is the least stable.

***

w) VASP calculation (PBE) on a relaxed structure of ZrCuIr3.

Computed properties:
V, Å³ per atom: 22.8

Cell: 4.8484 4.8484 4.8484 Å, 90.00 90.00 90.00°
Space group Pm-3m (No. 221)
Symmetry-distinct sites (fractional):
Zr 0.0000 0.0000 0.0000 x1
Cu 0.5000 0.5000 0.5000 x1
Ir 0.0000 0.0000 0.5000 x3

***

x) VASP calculation (PBE) on a relaxed structure of ZrCuIr3.

Computed properties:
V, Å³ per atom: 17.8

Cell: 4.4649 4.4649 4.4649 Å, 90.00 90.00 90.00°
Space group Pm-3m (No. 221)
Symmetry-distinct sites (fractional):
Zr 0.0000 0.0000 0.0000 x1
Cu 0.5000 0.5000 0.5000 x1
Ir 0.0000 0.5000 0.5000 x3

***

Which one is most stable, and which one is least stable? x) is the most stable of them, while w) is the least stable.

***

w) VASP calculation (PBE) on a relaxed structure of Zr2CuIr2.

Computed properties:
V, Å³ per atom: 17.9

Cell: 4.1759 5.5771 7.6880 Å, 90.00 90.00 90.00°
Space group Immm (No. 71)
Symmetry-distinct sites (fractional):
Zr 0.0000 0.0000 0.2021 x4
Cu 0.0000 0.5000 0.0000 x2
Ir 0.0000 0.2653 0.5000 x4

***

x) VASP calculation (PBE) on a relaxed structure of Zr2CuIr2.

Computed properties:
V, Å³ per atom: 18.8

Cell: 7.7907 7.7907 3.0939 Å, 90.00 90.00 90.00°
Space group P4/mbm (No. 127)
Symmetry-distinct sites (fractional):
Zr 0.1553 0.3447 0.0000 x4
Cu 0.0000 0.0000 0.0000 x2
Ir 0.1399 0.6399 0.5000 x4

***

y) VASP calculation (PBE) on a relaxed structure of Zr2CuIr2.

Computed properties:
V, Å³ per atom: 18.4

Cell: 7.5531 7.5531 3.2244 Å, 90.00 90.00 90.00°
Space group P4/mbm (No. 127)
Symmetry-distinct sites (fractional):
Zr 0.1623 0.3377 0.0000 x4
Cu 0.0000 0.0000 0.5000 x2
Ir 0.1378 0.6378 0.5000 x4

***

Which one is most stable, and which one is least stable? w) is the most stable of them, while x) is the least stable.

***

w) VASP calculation (PBE) on a relaxed structure of K4Cu.

Computed properties:
V, Å³ per atom: 58.6

Cell: 6.6422 6.6422 6.6422 Å, 90.00 90.00 90.00°
Space group Pm-3m (No. 221)
Symmetry-distinct sites (fractional):
K 0.0000 0.0000 0.0000 x1
K 0.0000 0.5000 0.5000 x3
Cu 0.5000 0.5000 0.5000 x1

***

x) VASP calculation (PBE) on a relaxed structure of K4Cu.

Computed properties:
V, Å³ per atom: 55.5

Cell: 8.2166 8.2166 8.2166 Å, 90.00 90.00 90.00°
Space group Im-3m (No. 229)
Symmetry-distinct sites (fractional):
K 0.2500 0.2500 0.2500 x8
Cu 0.0000 0.0000 0.0000 x2

***

Which one is most stable, and which one is least stable? w) is the most stable of them, while x) is the least stable.

***

w) VASP calculation (PBE) on a relaxed structure of K4Cu5.

Computed properties:
V, Å³ per atom: 28.8

Cell: 9.8673 9.8673 6.1537 Å, 90.00 90.00 120.00°
Space group P6_3/mcm (No. 193)
Symmetry-distinct sites (fractional):
K 0.0000 0.0000 0.0000 x2
K 0.0000 0.3769 0.2500 x6
Cu 0.0000 0.2966 0.7500 x6
Cu 0.3333 0.6667 0.0000 x4

***

x) VASP calculation (PBE) on a relaxed structure of K4Cu5.

Computed properties:
V, Å³ per atom: 38.4

Cell: 12.2746 12.2746 4.5845 Å, 90.00 90.00 90.00°
Space group I4/mmm (No. 139)
Symmetry-distinct sites (fractional):
K 0.0000 0.2547 0.0000 x8
Cu 0.0000 0.0000 0.0000 x2
Cu 0.2354 0.2354 0.5000 x8

***

Which one is most stable, and which one is least stable? x) is the most stable of them, while w) is the least stable.

***

w) VASP calculation (PBE) on a relaxed structure of K2La2Cu.

Computed properties:
V, Å³ per atom: 42.4

Cell: 7.6269 7.6269 7.2973 Å, 90.00 90.00 90.00°
Space group P4/mbm (No. 127)
Symmetry-distinct sites (fractional):
K 0.1875 0.3125 0.0000 x4
La 0.1638 0.6638 0.5000 x4
Cu 0.0000 0.0000 0.5000 x2

***

x) VASP calculation (PBE) on a relaxed structure of K2La2Cu.

Computed properties:
V, Å³ per atom: 38.2

Cell: 4.2941 4.2941 20.7187 Å, 90.00 90.00 90.00°
Space group I4/mmm (No. 139)
Symmetry-distinct sites (fractional):
K 0.0000 0.5000 0.2500 x4
La 0.0000 0.0000 0.0727 x4
Cu 0.0000 0.0000 0.5000 x2

***

Which one is most stable, and which one is least stable? w) is the most stable of them, while x) is the least stable.